Entry 1:
Here is crystalline MgCdSeN2 at its relaxed geometry from Alexandria. Energies are from PBEsol.

CIF file:
```
data_MgCdSeN2
_space_group_name_H-M_alt 'P 4/m m m'
_space_group_IT_number 123
_space_group_name_Hall '-P 4 2'
_cell_length_a 4.067
_cell_length_b 4.067
_cell_length_c 5.368
_cell_angle_alpha 90.00
_cell_angle_beta 90.00
_cell_angle_gamma 90.00
loop_
_atom_site_label
_atom_site_fract_x
_atom_site_fract_y
_atom_site_fract_z
_atom_site_occupancy
Mg1 0.000 0.000 0.000 1
Cd1 0.500 0.500 0.500 1
Se1 0.000 0.000 0.500 1
N1 0.000 0.500 0.000 1
```

Computed properties:
- formation energy (no corrections) (eV/f.u.) = 5.189

Entry 2:
Here is crystalline KSrNi at its relaxed geometry from Alexandria. Energies are from PBEsol.

CIF file:
```
data_KSrNi
_space_group_name_H-M_alt 'F -4 3 m'
_space_group_IT_number 216
_space_group_name_Hall 'F -4 2 3'
_cell_length_a 7.320
_cell_length_b 7.320
_cell_length_c 7.320
_cell_angle_alpha 90.00
_cell_angle_beta 90.00
_cell_angle_gamma 90.00
loop_
_atom_site_label
_atom_site_fract_x
_atom_site_fract_y
_atom_site_fract_z
_atom_site_occupancy
K1 0.000 0.000 0.000 1
Sr1 0.000 0.000 0.500 1
Ni1 0.250 0.250 0.250 1
```

Computed properties:
- formation energy (eV/atom) = 0.542
- excess energy over the best structure of this formula in the dataset (meV per atom) = 139

Entry 3:
Here is crystalline BaFe2Tc at its relaxed geometry from Alexandria. Energies are from PBEsol.

CIF file:
```
data_BaFe2Tc
_space_group_name_H-M_alt 'R 3 m'
_space_group_IT_number 160
_space_group_name_Hall 'R 3 -2"'
_cell_length_a 4.0413
_cell_length_b 4.0413
_cell_length_c 17.4949
_cell_angle_alpha 90.00
_cell_angle_beta 90.00
_cell_angle_gamma 120.00
loop_
_atom_site_label
_atom_site_fract_x
_atom_site_fract_y
_atom_site_fract_z
_atom_site_occupancy
Ba1 0.0000 0.0000 0.0000 1
Fe1 0.0000 0.0000 0.4858 1
Fe2 0.0000 0.0000 0.8120 1
Tc1 0.0000 0.0000 0.1889 1
```

Computed properties:
- formation energy (eV/atom) = 0.533
- excess energy over the best structure of this formula in the dataset (meV per atom) = 18

Entry 4:
Here is crystalline PbIO2 at its relaxed geometry from Alexandria. Energies are from PBEsol.

CIF file:
```
data_PbIO2
_space_group_name_H-M_alt 'R -3 m'
_space_group_IT_number 166
_space_group_name_Hall '-R 3 2"'
_cell_length_a 3.7462
_cell_length_b 3.7462
_cell_length_c 19.9803
_cell_angle_alpha 90.00
_cell_angle_beta 90.00
_cell_angle_gamma 120.00
loop_
_atom_site_label
_atom_site_fract_x
_atom_site_fract_y
_atom_site_fract_z
_atom_site_occupancy
Pb1 0.0000 0.0000 0.0000 1
I1 0.0000 0.0000 0.5000 1
O1 0.0000 0.0000 0.3929 1
```

Computed properties:
- formation energy (no corrections) (eV/f.u.) = -2.188
- excess energy over the best structure of this formula in the dataset (meV per atom) = 0

no.,DOS at the Fermi energy (states/eV/f.u.)
1,1.9
2,3.5
3,4.4
4,4.6